Entry i
The following is a DFT calculation (PBE-GGA) of a relaxed Sr4P2O crystal.

crystal system	monoclinic
D(E_F)	0.345	states/eV per cell

a = 7.053 Å, b = 6.979 Å, c = 8.745 Å
α = 90.00°, β = 108.43°, γ = 90.00°
Positions (direct):
Sr  0.018  0.009  0.249
Sr  0.018  0.491  0.249
Sr  0.440  0.250  0.583
Sr  0.458  0.250  0.141
Sr  0.542  0.750  0.859
Sr  0.560  0.750  0.417
Sr  0.982  0.509  0.751
Sr  0.982  0.991  0.751
P  0.206  0.750  0.548
P  0.259  0.750  0.065
P  0.741  0.250  0.935
P  0.794  0.250  0.452
O  0.253  0.250  0.308
O  0.747  0.750  0.692

Entry ii
The following is a DFT calculation (PBE-GGA) of a relaxed Sr4P2O crystal.

crystal system	tetragonal

a = 8.721 Å, b = 8.721 Å, c = 8.721 Å
α = 147.82°, β = 147.82°, γ = 46.15°
Positions (direct):
Sr  0.000  0.500  0.500
Sr  0.176  0.176  0.000
Sr  0.500  0.000  0.500
Sr  0.824  0.824  0.000
P  0.365  0.365  0.000
P  0.635  0.635  0.000
O  0.000  0.000  0.000

Quick one: most stable of them? entry ii

Entry i
The following is a DFT calculation (PBE-GGA) of a relaxed SrTaPO2 crystal.

crystal system	tetragonal
D(E_F)	6.121	states/eV per cell

a = 4.094 Å, b = 4.094 Å, c = 5.943 Å
α = 90.00°, β = 90.00°, γ = 90.00°
Positions (direct):
Sr  0.000  0.000  0.000
Ta  0.500  0.500  0.500
P  0.000  0.000  0.500
O  0.000  0.500  0.000
O  0.500  0.000  0.000

Entry ii
The following is a DFT calculation (PBE-GGA) of a relaxed SrTaPO2 crystal.

crystal system	tetragonal
D(E_F)	0.730	states/eV per cell

a = 4.085 Å, b = 4.085 Å, c = 5.042 Å
α = 90.00°, β = 90.00°, γ = 90.00°
Positions (direct):
Sr  0.000  0.000  0.000
Ta  0.500  0.500  0.500
P  0.500  0.500  0.000
O  0.000  0.500  0.500
O  0.500  0.000  0.500

Quick one: most stable of them? entry ii

Entry i
The following is a DFT calculation (PBE-GGA) of a relaxed SrTcPO2 crystal.

crystal system	tetragonal
D(E_F)	3.185	states/eV per cell

a = 4.240 Å, b = 4.240 Å, c = 6.216 Å
α = 90.00°, β = 90.00°, γ = 90.00°
Positions (direct):
Sr  0.000  0.000  0.000
Tc  0.500  0.500  0.500
P  0.000  0.000  0.500
O  0.000  0.500  0.000
O  0.500  0.000  0.000

Entry ii
The following is a DFT calculation (PBE-GGA) of a relaxed SrTcPO2 crystal.

crystal system	tetragonal
D(E_F)	3.463	states/eV per cell

a = 4.048 Å, b = 4.048 Å, c = 4.773 Å
α = 90.00°, β = 90.00°, γ = 90.00°
Positions (direct):
Sr  0.000  0.000  0.000
Tc  0.500  0.500  0.500
P  0.500  0.500  0.000
O  0.000  0.500  0.500
O  0.500  0.000  0.500

Quick one: most stable of them? entry ii

Entry i
The following is a DFT calculation (PBE-GGA) of a relaxed SrTePO2 crystal.

crystal system	tetragonal
D(E_F)	1.996	states/eV per cell

a = 4.254 Å, b = 4.254 Å, c = 5.103 Å
α = 90.00°, β = 90.00°, γ = 90.00°
Positions (direct):
Sr  0.000  0.000  0.000
Te  0.500  0.500  0.500
P  0.500  0.500  0.000
O  0.000  0.500  0.500
O  0.500  0.000  0.500

Entry ii
The following is a DFT calculation (PBE-GGA) of a relaxed SrTePO2 crystal.

crystal system	tetragonal
D(E_F)	5.629	states/eV per cell

a = 4.387 Å, b = 4.387 Å, c = 6.912 Å
α = 90.00°, β = 90.00°, γ = 90.00°
Positions (direct):
Sr  0.000  0.000  0.000
Te  0.500  0.500  0.500
P  0.000  0.000  0.500
O  0.000  0.500  0.000
O  0.500  0.000  0.000

Quick one: most stable of them? entry i